Record 1
DFT (PBE-GGA) results for MgGa4Co5 after structural relaxation.

The structure belongs to space group P4/mmm (No. 123); the cell edges are 2.9051, 2.9051 and 14.5451 Å and the angles 90.00°, 90.00° and 90.00°. The asymmetric unit holds Mg at (0.0000, 0.0000, 0.0000), Ga at (0.0000, 0.0000, 0.2030), Ga at (0.0000, 0.0000, 0.4013), Co at (0.5000, 0.5000, 0.1134), Co at (0.5000, 0.5000, 0.3050) and Co at (0.5000, 0.5000, 0.5000).

As for the formation energy: -0.226 eV per atom. The calculation puts the calculated density at 8.09 g cm⁻³. The calculated total energy comes out at -5.149 eV/atom.

***

Record 2
DFT (PBE-GGA) results for MgGa2Co2 after structural relaxation.

The structure belongs to space group I4/mmm (No. 139); the cell edges are 3.9559, 3.9559 and 9.8393 Å and the angles 90.00°, 90.00° and 90.00°. The asymmetric unit holds Mg at (0.0000, 0.0000, 0.0000), Ga at (0.0000, 0.0000, 0.3745) and Co at (0.0000, 0.5000, 0.2500).

The calculation puts the energy above the most stable polymorph in this dataset at 0.824 eV per formula unit. As for the formation energy: -0.054 eV per atom. The calculation puts the calculated density at 6.07 g cm⁻³. The calculated total energy comes out at -4.426 eV/atom.